{
  "formula": "Pm2LuGa",
  "functional": "PBE-GGA",
  "state": "relaxed",
  "cell": [[3.582, 0.000, 0.000], [0.000, 3.582, 0.000], [0.000, 0.000, 8.932]],
  "species": ["Pm", "Ga", "Lu", "Pm"],
  "frac_coords": [[0.000, 0.000, 0.213], [0.500, 0.500, 0.000], [0.500, 0.500, 0.500], [0.000, 0.000, 0.787]],
  "magnetic_moment_mub_per_fu": 0.000,
  "n_ef_per_ev_cell": 4.939,
  "volume_a3_per_atom": 28.6,
  "formation_enthalpy_0k_ev_per_fu": -0.92,
  "polymorph_energy_kcal_per_mol_atoms": 0.066
}